(1)
Here is a relaxed Ca2ReAu crystal from the Alexandria database. Energies are from GGA-PBE.

Lattice parameters (Å, degrees): 9.5605 9.5605 9.5605 20.02 20.02 20.02
Fractional positions:
Ca 0.2486 0.2486 0.2486
Ca 0.7514 0.7514 0.7514
Re 0.5000 0.5000 0.5000
Au 0.0000 0.0000 0.0000

Computed properties:
As for the energy above the most stable polymorph in this dataset: 209 meV/atom. The value obtained for the uncorrected energy is -4.484 eV/atom. As for the symmetry: R-3m. As for the density of states at the Fermi level: 3.77 states/eV/f.u.

***

(2)
Here is a relaxed CaRe2Au2 crystal from the Alexandria database. Energies are from GGA-PBE.

Lattice parameters (Å, degrees): 6.0929 6.0929 6.0929 136.37 136.37 63.41
Fractional positions:
Ca 0.0000 0.0000 0.0000
Re 0.3928 0.3928 0.0000
Re 0.6072 0.6072 0.0000
Au 0.2500 0.7500 0.5000
Au 0.7500 0.2500 0.5000

Computed properties:
As for the energy above the most stable polymorph in this dataset: 30 meV/atom. The value obtained for the uncorrected energy is -6.275 eV/atom. As for the symmetry: I4/mmm. As for the density of states at the Fermi level: 3.63 states/eV/f.u.

***

(3)
Here is a relaxed CaReAu2 crystal from the Alexandria database. Energies are from GGA-PBE.

Lattice parameters (Å, degrees): 4.7860 4.7860 4.7860 60.00 60.00 60.00
Fractional positions:
Ca 0.0000 0.0000 0.0000
Re 0.2500 0.2500 0.2500
Au 0.5000 0.5000 0.5000
Au 0.7500 0.7500 0.7500

Computed properties:
As for the energy above the most stable polymorph in this dataset: 346 meV/atom. The value obtained for the uncorrected energy is -4.738 eV/atom. As for the symmetry: F-43m. As for the density of states at the Fermi level: 0.72 states/eV/f.u.

***

(4)
Here is a relaxed CaReAu2 crystal from the Alexandria database. Energies are from GGA-PBE.

Lattice parameters (Å, degrees): 9.7890 9.7890 9.7890 17.53 17.53 17.53
Fractional positions:
Ca 0.0000 0.0000 0.0000
Re 0.5000 0.5000 0.5000
Au 0.2451 0.2451 0.2451
Au 0.7549 0.7549 0.7549

Computed properties:
As for the energy above the most stable polymorph in this dataset: 275 meV/atom. The value obtained for the uncorrected energy is -4.809 eV/atom. As for the symmetry: R-3m. As for the density of states at the Fermi level: 3.12 states/eV/f.u.